Computed, not measured: LiZrCuTe3 after structural relaxation at the PBE level of DFT.

a = 4.0067 Å, b = 8.1181 Å, c = 9.8631 Å
α = 105.23°, β = 90.00°, γ = 90.00°
With the nearest neighbours (Å) after each atom.
Sites, in units of the cell vectors:
Li (0.7500, 0.7871, 0.7124)  6 Te 3.01-3.16
Li (0.2500, 0.2129, 0.2876)  6 Te 3.01-3.16
Zr (0.2500, 0.6869, 0.1798)  6 Te 2.85-3.06
Zr (0.7500, 0.3131, 0.8202)  6 Te 2.85-3.06
Cu (0.2500, 0.0829, 0.5902)  4 Te 2.61-2.73, 2 Cu 2.78
Cu (0.7500, 0.9171, 0.4098)  4 Te 2.61-2.73, 2 Cu 2.78
Te (0.2500, 0.7374, 0.4772)  3 Cu 2.66-2.73, 1 Zr 2.85
Te (0.7500, 0.9320, 0.1487)  1 Cu 2.61, 2 Zr 2.90
Te (0.7500, 0.4138, 0.1421)  3 Zr 2.94-3.06, 2 Li 3.16
Te (0.7500, 0.2626, 0.5228)  3 Cu 2.66-2.73, 1 Zr 2.85
Te (0.2500, 0.5862, 0.8579)  3 Zr 2.94-3.06, 2 Li 3.16
Te (0.2500, 0.0680, 0.8513)  1 Cu 2.61, 2 Zr 2.90

Space-group type: P2_1/m (11)
ΔE_f (raw) in meV/atom: -701